4
Lattice="5.340 0.000 0.000 2.670 4.625 0.000 2.670 1.542 4.360" Properties=species:S:1:pos:R:3 comment="EuYTlAu, relaxed, DFT PBE" n_ef_per_ev_cell=10.54 total_energy_ev_per_atom=-6.14 delta_e_f_mev_per_atom=-546 crystal_system=cubic space_group=F-43m pbc="T T T"
Au 8.011 4.625 3.270
Y 0.000 0.000 0.000
Eu 5.340 3.083 2.180
Tl 2.670 1.542 1.090